An optimized crystal structure of Ca2Si3Pt12Rh, computed with GGA-PBE.

```
18
Lattice="-1.662 2.727 -6.954 -4.678 -4.376 -4.187 -7.113 2.697 -0.832" Properties=species:S:1:pos:R:3 pbc="T T T"
Ca -8.140 0.635 -7.244
Ca -5.314 0.414 -4.729
Si -0.831 1.364 -3.477
Si -2.339 -2.188 -2.094
Si -3.557 1.348 -0.416
Pt -8.650 1.840 -4.707
Pt -8.210 -0.395 -9.964
Pt -10.844 -0.410 -7.006
Pt -5.684 1.856 -8.038
Pt -9.387 3.022 -8.343
Pt -7.325 -2.008 -6.532
Pt -4.803 -0.791 -7.266
Pt -5.243 1.444 -2.009
Pt -2.609 1.459 -4.968
Pt -7.769 -0.808 -3.936
Pt -4.066 -1.973 -3.631
Pt -6.128 3.056 -5.441
Rh 0.000 0.000 0.000
```

Output
magnetic moment = 0.00 Bohr magnetons per cell
space-group type = No. 166
formation energy without anion corrections = -0.3021 eV per atom
V = 350 Å³/cell

---

An optimized crystal structure of Pu2Se2I, computed with GGA-PBE.

```
5
Lattice="4.013 0.000 -1.053 -0.276 4.003 -1.053 0.388 0.416 9.649" Properties=species:S:1:pos:R:3 pbc="T T T"
Pu 3.373 3.614 4.680
Pu 0.751 0.805 2.863
Se 2.652 2.841 1.933
Se 1.472 1.578 5.610
I 0.000 0.000 0.000
```

Output
magnetic moment = 10.98 Bohr magnetons per cell
space-group type = No. 139
formation energy without anion corrections = -1.3818 eV per atom
distance to the lowest polymorph of the same formula = 0 meV per atom
V = 159 Å³/cell